# 1
CaCuBiPd2 | PBE | relaxed

Cell lengths 4.7941, 4.7941, 4.9079 Å; angles 90.00, 90.00, 90.00 degrees
Closest atoms and distances in Å follow each position.
Space group P4/mmm (No. 123)
Inequivalent atoms, fractional coordinates:
Ca 0.0000 0.0000 0.0000 [1 per cell]  2 Cu 2.45
Cu 0.0000 0.0000 0.5000 [1 per cell]  4 Pd 2.40, 2 Ca 2.45
Bi 0.5000 0.5000 0.0000 [1 per cell]  4 Ca 3.39, 8 Pd 3.43
Pd 0.0000 0.5000 0.5000 [2 per cell]  2 Cu 2.40

Output
For the density of states at the Fermi level, the calculation gives 2.4 states/eV/cell. The calculated volume is 112.8 Å³/cell. The calculation puts the size of the total moment at 0.00 Bohr magnetons per cell. The formation energy is 0.04 eV/atom.

=====

# 2
Cd2HIr | PBE | relaxed

Cell lengths 6.4261, 6.4261, 6.4261 Å; angles 90.00, 90.00, 90.00 degrees
Closest atoms and distances in Å follow each position.
Space group Fm-3m (No. 225)
Inequivalent atoms, fractional coordinates:
Cd 0.2500 0.2500 0.2500 [8 per cell]  4 H 2.78, 4 Ir 2.78
H 0.0000 0.0000 0.0000 [4 per cell]  8 Cd 2.78
Ir 0.0000 0.0000 0.5000 [4 per cell]  8 Cd 2.78

Output
For the density of states at the Fermi level, the calculation gives 5.6 states/eV/cell. The calculated volume is 265.4 Å³/cell. The calculation puts the size of the total moment at 1.76 Bohr magnetons per cell. The value obtained for the excess energy over the best structure of this formula in the dataset is 0.000 eV/atom.

=====

# 3
MgWBr2 | PBE | relaxed

Cell lengths 3.1351, 5.9419, 10.2954 Å; angles 90.00, 90.00, 90.00 degrees
Closest atoms and distances in Å follow each position.
Space group Cmmm (No. 65)
Inequivalent atoms, fractional coordinates:
Mg 0.0000 0.0000 0.0000 [2 per cell]  6 Mg 3.14-3.36, 4 Br 3.45
W 0.0000 0.0000 0.5000 [2 per cell]  4 Br 2.60
Br 0.0000 0.5000 0.2982 [4 per cell]  2 W 2.60

Output
The calculation puts the uncorrected formation energy at 1.710 eV per formula unit. For the density of states at the Fermi level, the calculation gives 3.6 states/eV/cell. The calculated volume is 191.8 Å³/cell. The calculation puts the size of the total moment at 2.27 Bohr magnetons per cell. The value obtained for the excess energy over the best structure of this formula in the dataset is 0.470 eV/atom.

=====

# 4
NdS2O8 | PBE | relaxed

Cell lengths 14.9310, 5.5724, 9.5971 Å; angles 90.00, 120.70, 90.00 degrees
Closest atoms and distances in Å follow each position.
Space group C2/c (No. 15)
Inequivalent atoms, fractional coordinates:
Nd 0.0000 0.1636 0.2500 [4 per cell]  8 O 2.46-2.58
S 0.0934 0.2696 0.6582 [8 per cell]  4 O 1.48-1.51
O 0.0185 0.1888 0.9222 [8 per cell]  1 S 1.51
O 0.1041 0.4897 0.2308 [8 per cell]  1 S 1.48
O 0.1249 0.2796 0.5348 [8 per cell]  1 S 1.48
O 0.1555 0.0889 0.7858 [8 per cell]  1 S 1.49

Output
The calculation puts the uncorrected formation energy at -19.123 eV per formula unit. For the density of states at the Fermi level, the calculation gives 34.6 states/eV/cell. The calculated volume is 686.6 Å³/cell. The calculation puts the size of the total moment at 4.36 Bohr magnetons per cell.

=====

# 5
AcNpSn | PBE | relaxed

Cell lengths 3.8999, 18.4850, 5.3915 Å; angles 90.00, 90.00, 90.00 degrees
Closest atoms and distances in Å follow each position.
Space group Cmcm (No. 63)
Inequivalent atoms, fractional coordinates:
Ac 0.0000 0.1810 0.2500 [4 per cell]  5 Sn 3.49-3.61, 2 Np 3.61, 2 Ac 3.90
Np 0.0000 0.0000 0.0000 [4 per cell]  2 Np 2.70
Sn 0.0000 0.3761 0.2500 [4 per cell]  4 Np 3.30, 5 Ac 3.49-3.61

Output
For the density of states at the Fermi level, the calculation gives 27.5 states/eV/cell. The calculated volume is 388.7 Å³/cell. The calculation puts the size of the total moment at 18.13 Bohr magnetons per cell. The formation energy is -0.05 eV/atom.

=====

# 6
NiAsSe2 | PBE | relaxed

Cell lengths 6.5250, 6.5250, 6.5250 Å; angles 90.00, 90.00, 90.00 degrees
Closest atoms and distances in Å follow each position.
Space group F-43m (No. 216)
Inequivalent atoms, fractional coordinates:
Ni 0.0000 0.0000 0.0000 [4 per cell]  4 As 2.83, 4 Se 2.83
As 0.2500 0.2500 0.2500 [4 per cell]  4 Se 2.83, 4 Ni 2.83
Se 0.0000 0.0000 0.5000 [4 per cell]  4 Se 2.83, 4 As 2.83
Se 0.2500 0.2500 0.7500 [4 per cell]  4 Se 2.83, 4 Ni 2.83

Output
The calculation puts the uncorrected formation energy at 2.198 eV per formula unit. For the density of states at the Fermi level, the calculation gives 18.4 states/eV/cell. The calculated volume is 277.8 Å³/cell. The calculation puts the size of the total moment at 0.47 Bohr magnetons per cell.